CeYRu4 | PBE | optimized geometry

The structure in extended XYZ format:
```
6
Lattice="0.000 3.788 3.788 3.788 0.000 3.788 3.788 3.788 0.000" Properties=species:S:1:pos:R:3 pbc="T T T"
Ce 0.000 0.000 0.000
Y 1.894 1.894 1.894
Ru 4.735 2.842 2.842
Ru 2.842 4.735 2.842
Ru 2.842 2.842 4.735
Ru 4.735 4.735 4.735
```

Calculated total energy in eV/atom: -8.522
Formation energy in kJ/mol of atoms: -26.25